# HIrSe2 | the Alexandria database | PBE | relaxed
data_HIrSe2
_chemical_formula_sum 'H2 Ir2 Se4'
_cell_length_a 5.393
_cell_length_b 5.393
_cell_length_c 6.137
_cell_angle_alpha 63.93
_cell_angle_beta 63.93
_cell_angle_gamma 90.00
_space_group_name_H-M_alt 'P 1'
_space_group_IT_number 1
_space_group_name_Hall 'P 1'
loop_
_atom_site_label
_atom_site_type_symbol
_atom_site_fract_x
_atom_site_fract_y
_atom_site_fract_z
_atom_site_occupancy
H1 H 0.250 0.750 0.500 1
Se1 Se 0.586 0.125 0.250 1
H2 H 0.500 0.500 0.000 1
Ir1 Ir 0.000 0.000 0.000 1
Se2 Se 0.164 0.625 0.250 1
Ir2 Ir 0.750 0.250 0.500 1
Se3 Se 0.875 0.836 0.750 1
Se4 Se 0.375 0.414 0.750 1
# Space-group type: I-42d, No. 122
# Distance to the lowest polymorph of the same formula: 43.4 kJ/mol of atoms
# E_tot: -4.493 eV per atom

# YAl2Zn9 | the Alexandria database | PBE | relaxed
data_YAl2Zn9
_chemical_formula_sum 'Y1 Al2 Zn9'
_cell_length_a 3.255
_cell_length_b 8.590
_cell_length_c 8.590
_cell_angle_alpha 120.00
_cell_angle_beta 90.00
_cell_angle_gamma 90.00
_space_group_name_H-M_alt 'P 1'
_space_group_IT_number 1
_space_group_name_Hall 'P 1'
loop_
_atom_site_label
_atom_site_type_symbol
_atom_site_fract_x
_atom_site_fract_y
_atom_site_fract_z
_atom_site_occupancy
Zn1 Zn 0.500 0.819 0.181 1
Zn2 Zn 0.500 0.181 0.362 1
Zn3 Zn 0.500 0.638 0.819 1
Y1 Y 0.000 0.000 0.000 1
Zn4 Zn 0.000 0.000 0.500 1
Zn5 Zn 0.000 0.500 0.000 1
Zn6 Zn 0.500 0.819 0.638 1
Zn7 Zn 0.000 0.500 0.500 1
Zn8 Zn 0.500 0.362 0.181 1
Al1 Al 0.000 0.333 0.667 1
Al2 Al 0.000 0.667 0.333 1
Zn9 Zn 0.500 0.181 0.819 1
# Formation enthalpy at 0 K: -0.0169 eV/atom
# Space-group type: P6/mmm, No. 191
# Distance to the lowest polymorph of the same formula: 11.6 kJ/mol of atoms
# E_tot: -2.135 eV per atom

# RbBaW2 | the Alexandria database | PBE | relaxed
data_RbBaW2
_chemical_formula_sum 'Rb1 Ba1 W2'
_cell_length_a 5.646
_cell_length_b 5.646
_cell_length_c 5.646
_cell_angle_alpha 60.00
_cell_angle_beta 60.00
_cell_angle_gamma 60.00
_space_group_name_H-M_alt 'P 1'
_space_group_IT_number 1
_space_group_name_Hall 'P 1'
loop_
_atom_site_label
_atom_site_type_symbol
_atom_site_fract_x
_atom_site_fract_y
_atom_site_fract_z
_atom_site_occupancy
W1 W 0.250 0.250 0.250 1
Rb1 Rb 0.000 0.000 0.000 1
Ba1 Ba 0.500 0.500 0.500 1
W2 W 0.750 0.750 0.750 1
# Formation enthalpy at 0 K: 2.6820 eV/atom
# Space-group type: Fm-3m, No. 225
# Distance to the lowest polymorph of the same formula: 63.2 kJ/mol of atoms
# E_tot: -4.517 eV per atom

# Ca3Pd2 | the Alexandria database | PBE | relaxed
data_Ca3Pd2
_chemical_formula_sum 'Ca9 Pd6'
_cell_length_a 7.666
_cell_length_b 7.666
_cell_length_c 7.666
_cell_angle_alpha 71.35
_cell_angle_beta 71.35
_cell_angle_gamma 71.35
_space_group_name_H-M_alt 'P 1'
_space_group_IT_number 1
_space_group_name_Hall 'P 1'
loop_
_atom_site_label
_atom_site_type_symbol
_atom_site_fract_x
_atom_site_fract_y
_atom_site_fract_z
_atom_site_occupancy
Ca1 Ca 0.203 0.203 0.203 1
Pd1 Pd 0.956 0.588 0.156 1
Pd2 Pd 0.412 0.844 0.044 1
Ca2 Ca 0.000 0.000 0.000 1
Ca3 Ca 0.157 0.666 0.397 1
Pd3 Pd 0.156 0.956 0.588 1
Ca4 Ca 0.797 0.797 0.797 1
Pd4 Pd 0.044 0.412 0.844 1
Ca5 Ca 0.843 0.334 0.603 1
Pd5 Pd 0.844 0.044 0.412 1
Ca6 Ca 0.603 0.843 0.334 1
Pd6 Pd 0.588 0.156 0.956 1
Ca7 Ca 0.666 0.397 0.157 1
Ca8 Ca 0.397 0.157 0.666 1
Ca9 Ca 0.334 0.603 0.843 1
# Formation enthalpy at 0 K: -0.6348 eV/atom
# Space-group type: R-3, No. 148
# Distance to the lowest polymorph of the same formula: 0.0 kJ/mol of atoms
# E_tot: -3.913 eV per atom

# Cu2AsSe | the Alexandria database | PBE | relaxed
data_Cu2AsSe
_chemical_formula_sum 'Cu2 As1 Se1'
_cell_length_a 4.702
_cell_length_b 4.702
_cell_length_c 4.702
_cell_angle_alpha 126.88
_cell_angle_beta 126.88
_cell_angle_gamma 78.45
_space_group_name_H-M_alt 'P 1'
_space_group_IT_number 1
_space_group_name_Hall 'P 1'
loop_
_atom_site_label
_atom_site_type_symbol
_atom_site_fract_x
_atom_site_fract_y
_atom_site_fract_z
_atom_site_occupancy
Se1 Se 0.250 0.750 0.500 1
Cu1 Cu 0.500 0.500 0.000 1
Cu2 Cu 0.000 0.000 0.000 1
As1 As 0.750 0.250 0.500 1
# Formation energy without anion corrections: 0.32 eV/atom
# Space-group type: I4/mmm, No. 139
# E_tot: -3.762 eV per atom

# Hf5SnHg | the Alexandria database | PBE | relaxed
data_Hf5SnHg
_chemical_formula_sum 'Hf10 Sn2 Hg2'
_cell_length_a 9.619
_cell_length_b 9.619
_cell_length_c 10.409
_cell_angle_alpha 39.86
_cell_angle_beta 39.86
_cell_angle_gamma 69.24
_space_group_name_H-M_alt 'P 1'
_space_group_IT_number 1
_space_group_name_Hall 'P 1'
loop_
_atom_site_label
_atom_site_type_symbol
_atom_site_fract_x
_atom_site_fract_y
_atom_site_fract_z
_atom_site_occupancy
Sn1 Sn 0.420 0.580 0.250 1
Hg1 Hg 0.000 0.000 0.000 1
Hf1 Hf 0.219 0.301 0.865 1
Hf2 Hf 0.303 0.697 0.750 1
Sn2 Sn 0.580 0.420 0.750 1
Hf3 Hf 0.697 0.303 0.250 1
Hf4 Hf 0.342 0.830 0.352 1
Hf5 Hf 0.699 0.781 0.635 1
Hf6 Hf 0.170 0.658 0.148 1
Hg2 Hg 0.000 0.000 0.500 1
Hf7 Hf 0.830 0.342 0.852 1
Hf8 Hf 0.658 0.170 0.648 1
Hf9 Hf 0.301 0.219 0.365 1
Hf10 Hf 0.781 0.699 0.135 1
# Formation enthalpy at 0 K: 0.1045 eV/atom
# Space-group type: C2/c, No. 15
# E_tot: -7.620 eV per atom

# NaLi2Zn2 | the Alexandria database | PBE | relaxed
data_NaLi2Zn2
_chemical_formula_sum 'Na2 Li4 Zn4'
_cell_length_a 8.003
_cell_length_b 8.003
_cell_length_c 2.914
_cell_angle_alpha 90.00
_cell_angle_beta 90.00
_cell_angle_gamma 90.00
_space_group_name_H-M_alt 'P 1'
_space_group_IT_number 1
_space_group_name_Hall 'P 1'
loop_
_atom_site_label
_atom_site_type_symbol
_atom_site_fract_x
_atom_site_fract_y
_atom_site_fract_z
_atom_site_occupancy
Zn1 Zn 0.116 0.384 0.000 1
Li1 Li 0.176 0.676 0.500 1
Zn2 Zn 0.884 0.616 0.000 1
Li2 Li 0.324 0.176 0.500 1
Zn3 Zn 0.616 0.116 0.000 1
Na1 Na 0.000 0.000 0.000 1
Li3 Li 0.824 0.324 0.500 1
Li4 Li 0.676 0.824 0.500 1
Na2 Na 0.500 0.500 0.000 1
Zn4 Zn 0.384 0.884 0.000 1
# Formation enthalpy at 0 K: -0.0631 eV/atom
# Space-group type: P4/mbm, No. 127
# Distance to the lowest polymorph of the same formula: 0.0 kJ/mol of atoms
# E_tot: -1.602 eV per atom

# LaMgIO2 | the Alexandria database | PBE | relaxed
data_LaMgIO2
_chemical_formula_sum 'La1 Mg1 I1 O2'
_cell_length_a 4.359
_cell_length_b 4.359
_cell_length_c 5.038
_cell_angle_alpha 90.00
_cell_angle_beta 90.00
_cell_angle_gamma 90.00
_space_group_name_H-M_alt 'P 1'
_space_group_IT_number 1
_space_group_name_Hall 'P 1'
loop_
_atom_site_label
_atom_site_type_symbol
_atom_site_fract_x
_atom_site_fract_y
_atom_site_fract_z
_atom_site_occupancy
La1 La 0.500 0.500 0.500 1
O1 O 0.000 0.500 0.000 1
O2 O 0.500 0.000 0.000 1
Mg1 Mg 0.000 0.000 0.000 1
I1 I 0.000 0.000 0.500 1
# Formation energy without anion corrections: -1.35 eV/atom
# Space-group type: P4/mmm, No. 123
# Distance to the lowest polymorph of the same formula: 6.4 kJ/mol of atoms
# E_tot: -4.951 eV per atom

# Ce8SnPb2 | the Alexandria database | PBE | relaxed
data_Ce8SnPb2
_chemical_formula_sum 'Ce8 Sn1 Pb2'
_cell_length_a 5.800
_cell_length_b 8.615
_cell_length_c 8.347
_cell_angle_alpha 58.93
_cell_angle_beta 78.38
_cell_angle_gamma 67.02
_space_group_name_H-M_alt 'P 1'
_space_group_IT_number 1
_space_group_name_Hall 'P 1'
loop_
_atom_site_label
_atom_site_type_symbol
_atom_site_fract_x
_atom_site_fract_y
_atom_site_fract_z
_atom_site_occupancy
Ce1 Ce 0.500 0.228 0.545 1
Ce2 Ce 0.644 0.594 0.000 1
Ce3 Ce 0.091 0.917 0.812 1
Ce4 Ce 0.909 0.083 0.188 1
Ce5 Ce 0.500 0.772 0.455 1
Pb1 Pb 0.000 0.311 0.378 1
Ce6 Ce 0.091 0.729 0.188 1
Pb2 Pb 0.000 0.689 0.622 1
Ce7 Ce 0.356 0.406 0.000 1
Ce8 Ce 0.909 0.271 0.812 1
Sn1 Sn 0.500 0.000 0.000 1
# Formation enthalpy at 0 K: -0.2020 eV/atom
# Space-group type: C2/m, No. 12
# E_tot: -5.556 eV per atom

# ZrSi4Ir | the Alexandria database | PBE | relaxed
data_ZrSi4Ir
_chemical_formula_sum 'Zr1 Si4 Ir1'
_cell_length_a 4.996
_cell_length_b 4.996
_cell_length_c 4.996
_cell_angle_alpha 60.00
_cell_angle_beta 60.00
_cell_angle_gamma 60.00
_space_group_name_H-M_alt 'P 1'
_space_group_IT_number 1
_space_group_name_Hall 'P 1'
loop_
_atom_site_label
_atom_site_type_symbol
_atom_site_fract_x
_atom_site_fract_y
_atom_site_fract_z
_atom_site_occupancy
Zr1 Zr 0.750 0.750 0.750 1
Si1 Si 0.374 0.877 0.374 1
Si2 Si 0.374 0.374 0.877 1
Si3 Si 0.374 0.374 0.374 1
Si4 Si 0.877 0.374 0.374 1
Ir1 Ir 0.000 0.000 0.000 1
# Formation energy without anion corrections: 0.06 eV/atom
# Space-group type: F-43m, No. 216
# E_tot: -6.458 eV per atom